This record from the Open Quantum Materials Database describes a geometry-optimized GdY2Ge7 structure. The functional is PBE.

Cell: 12.822 12.822 4.151 Å, 90.00 90.00 162.05°
Positions (direct):
1 Gd 0.000 0.000 0.000
2 Y 0.314 0.686 0.500
3 Y 0.686 0.314 0.500
4 Ge 0.093 0.907 0.500
5 Ge 0.217 0.783 0.000
6 Ge 0.405 0.595 0.000
7 Ge 0.500 0.500 0.500
8 Ge 0.595 0.405 0.000
9 Ge 0.783 0.217 0.000
10 Ge 0.907 0.093 0.500

Output
- total energy (eV per atom) = -5.5342
- calculated density (g/cm³) = 6.660

***

This record from the Open Quantum Materials Database describes a geometry-optimized GdYGe structure. The functional is PBE.

Cell: 5.110 5.110 6.552 Å, 90.00 90.00 120.00°
Positions (direct):
1 Gd 0.333 0.667 0.000
2 Gd 0.667 0.333 0.500
3 Y 0.000 0.000 0.250
4 Y 0.000 0.000 0.750
5 Ge 0.333 0.667 0.498
6 Ge 0.667 0.333 0.998

Output
- total energy (eV per atom) = -5.7635
- calculated density (g/cm³) = 7.145

***

This record from the Open Quantum Materials Database describes a geometry-optimized GdYZn2Ge2 structure. The functional is PBE.

Cell: 4.237 4.237 15.816 Å, 90.00 90.00 120.00°
Positions (direct):
1 Gd 0.000 0.000 0.000
2 Gd 0.000 0.000 0.500
3 Y 0.000 0.000 0.250
4 Y 0.000 0.000 0.750
5 Zn 0.333 0.667 0.145
6 Zn 0.333 0.667 0.355
7 Zn 0.667 0.333 0.645
8 Zn 0.667 0.333 0.855
9 Ge 0.333 0.667 0.615
10 Ge 0.333 0.667 0.885
11 Ge 0.667 0.333 0.115
12 Ge 0.667 0.333 0.385

Output
- total energy (eV per atom) = -4.5015
- calculated density (g/cm³) = 7.052

***

This record from the Open Quantum Materials Database describes a geometry-optimized GdYZr2Ge2 structure. The functional is PBE.

Cell: 4.202 4.202 7.970 Å, 90.00 90.00 90.00°
Positions (direct):
1 Gd 0.000 0.000 0.000
2 Y 0.500 0.500 0.695
3 Zr 0.000 0.500 0.349
4 Zr 0.500 0.000 0.349
5 Ge 0.000 0.000 0.612
6 Ge 0.500 0.500 0.086

Output
- total energy (eV per atom) = -6.9569
- calculated density (g/cm³) = 6.771

***

This record from the Open Quantum Materials Database describes a geometry-optimized GdZnGe structure. The functional is PBE.

Cell: 6.404 6.404 6.404 Å, 90.00 90.00 90.00°
Positions (direct):
1 Gd 0.000 0.000 0.000
2 Gd 0.000 0.500 0.500
3 Gd 0.500 0.000 0.500
4 Gd 0.500 0.500 0.000
5 Zn 0.250 0.250 0.250
6 Zn 0.250 0.750 0.750
7 Zn 0.750 0.250 0.750
8 Zn 0.750 0.750 0.250
9 Ge 0.000 0.000 0.500
10 Ge 0.000 0.500 0.000
11 Ge 0.500 0.000 0.000
12 Ge 0.500 0.500 0.500

Output
- total energy (eV per atom) = -3.8765
- calculated density (g/cm³) = 7.467

***

This record from the Open Quantum Materials Database describes a geometry-optimized Gd4Zn5Ge6 structure. The functional is PBE.

Cell: 9.579 9.579 15.431 Å, 90.00 90.00 154.29°
Positions (direct):
1 Gd 0.019 0.981 0.500
2 Gd 0.033 0.967 0.763
3 Gd 0.168 0.832 0.304
4 Gd 0.176 0.824 0.946
5 Gd 0.824 0.176 0.446
6 Gd 0.832 0.168 0.804
7 Gd 0.967 0.033 0.263
8 Gd 0.981 0.019 0.000
9 Zn 0.152 0.848 0.628
10 Zn 0.300 0.700 0.625
11 Zn 0.345 0.655 0.274
12 Zn 0.350 0.650 0.981
13 Zn 0.434 0.566 0.685
14 Zn 0.566 0.434 0.185
15 Zn 0.650 0.350 0.481
16 Zn 0.655 0.345 0.774
17 Zn 0.700 0.300 0.125
18 Zn 0.848 0.152 0.128
19 Ge 0.112 0.888 0.118
20 Ge 0.222 0.778 0.488
21 Ge 0.227 0.773 0.765
22 Ge 0.431 0.569 0.407
23 Ge 0.432 0.568 0.130
24 Ge 0.440 0.560 0.855
25 Ge 0.560 0.440 0.355
26 Ge 0.568 0.432 0.630
27 Ge 0.569 0.431 0.907
28 Ge 0.773 0.227 0.265
29 Ge 0.778 0.222 0.988
30 Ge 0.888 0.112 0.618

Output
- total energy (eV per atom) = -4.0840
- calculated density (g/cm³) = 7.525

***

This record from the Open Quantum Materials Database describes a geometry-optimized GdZrGe structure. The functional is PBE.

Cell: 6.943 6.943 6.943 Å, 90.00 90.00 90.00°
Positions (direct):
1 Gd 0.000 0.000 0.000
2 Gd 0.000 0.500 0.500
3 Gd 0.500 0.000 0.500
4 Gd 0.500 0.500 0.000
5 Zr 0.250 0.250 0.250
6 Zr 0.250 0.750 0.750
7 Zr 0.750 0.250 0.750
8 Zr 0.750 0.750 0.250
9 Ge 0.250 0.250 0.750
10 Ge 0.250 0.750 0.250
11 Ge 0.750 0.250 0.250
12 Ge 0.750 0.750 0.750

Output
- total energy (eV per atom) = -5.3215
- calculated density (g/cm³) = 6.374

***

This record from the Open Quantum Materials Database describes a geometry-optimized GdZrGe structure. The functional is PBE.

Cell: 6.695 6.695 6.695 Å, 90.00 90.00 90.00°
Positions (direct):
1 Gd 0.000 0.000 0.000
2 Gd 0.000 0.500 0.500
3 Gd 0.500 0.000 0.500
4 Gd 0.500 0.500 0.000
5 Zr 0.000 0.000 0.500
6 Zr 0.000 0.500 0.000
7 Zr 0.500 0.000 0.000
8 Zr 0.500 0.500 0.500
9 Ge 0.250 0.250 0.250
10 Ge 0.250 0.750 0.750
11 Ge 0.750 0.250 0.750
12 Ge 0.750 0.750 0.250

Output
- total energy (eV per atom) = -6.3187
- calculated density (g/cm³) = 7.106

***

This record from the Open Quantum Materials Database describes a geometry-optimized GdZrGe structure. The functional is PBE.

Cell: 4.166 4.166 16.165 Å, 90.00 90.00 90.00°
Positions (direct):
1 Gd 0.000 0.000 0.178
2 Gd 0.000 0.000 0.822
3 Gd 0.500 0.500 0.322
4 Gd 0.500 0.500 0.678
5 Zr 0.000 0.500 0.000
6 Zr 0.000 0.500 0.500
7 Zr 0.500 0.000 0.000
8 Zr 0.500 0.000 0.500
9 Ge 0.000 0.000 0.371
10 Ge 0.000 0.000 0.629
11 Ge 0.500 0.500 0.129
12 Ge 0.500 0.500 0.871

Output
- total energy (eV per atom) = -6.6335
- calculated density (g/cm³) = 7.604

***

This record from the Open Quantum Materials Database describes a geometry-optimized GdH3 structure. The functional is PBE.

Cell: 3.598 3.598 6.170 Å, 90.00 90.00 120.00°
Positions (direct):
1 Gd 0.333 0.667 0.250
2 Gd 0.667 0.333 0.750
3 H 0.000 0.000 0.000
4 H 0.000 0.000 0.500
5 H 0.333 0.667 0.598
6 H 0.333 0.667 0.902
7 H 0.667 0.333 0.098
8 H 0.667 0.333 0.402

Output
- total energy (eV per atom) = -4.1307
- calculated density (g/cm³) = 7.697

***

This record from the Open Quantum Materials Database describes a geometry-optimized Gd5H structure. The functional is PBE.

Cell: 6.449 6.449 5.975 Å, 90.00 90.00 120.00°
Positions (direct):
1 Gd 0.000 0.500 0.000
2 Gd 0.333 0.667 0.500
3 Gd 0.500 0.000 0.000
4 Gd 0.500 0.500 0.000
5 Gd 0.667 0.333 0.500
6 H 0.000 0.000 0.500

Output
- total energy (eV per atom) = -3.4350
- calculated density (g/cm³) = 6.074

***

This record from the Open Quantum Materials Database describes a geometry-optimized GdH3 structure. The functional is PBE.

Cell: 7.340 8.112 3.578 Å, 90.00 116.55 90.00°
Positions (direct):
1 Gd 0.000 0.220 0.000
2 Gd 0.000 0.780 0.000
3 Gd 0.500 0.280 0.000
4 Gd 0.500 0.720 0.000
5 H 0.126 0.000 0.852
6 H 0.164 0.305 0.651
7 H 0.164 0.695 0.651
8 H 0.336 0.195 0.349
9 H 0.336 0.805 0.349
10 H 0.374 0.500 0.148
11 H 0.626 0.500 0.852
12 H 0.664 0.195 0.651
13 H 0.664 0.805 0.651
14 H 0.836 0.305 0.349
15 H 0.836 0.695 0.349
16 H 0.874 0.000 0.148

Output
- total energy (eV per atom) = -4.0495
- calculated density (g/cm³) = 5.585